a) Compound: MnReSnCSe
Source: the Alexandria database
Functional: PBE
Structure: optimized geometry

Structure (POSCAR):
```
MnReSnCSe
1.0
-3.4074 -0.8186 4.5613
1.6242 -2.5520 0.7553
7.9854 5.7515 2.2612
Re C Mn Sn Se
2 2 2 2 2
direct
0.2672 0.0000 0.0274
0.2672 0.5000 0.5274
0.3492 0.0000 0.6758
0.3492 0.5000 0.1758
0.3847 0.0000 0.2880
0.3847 0.5000 0.7880
0.7260 0.0000 0.9907
0.7260 0.5000 0.4907
0.0200 0.0000 0.3265
0.0200 0.5000 0.8265
```

## Properties
Space group: Cm, No. 8

***

b) Compound: MnReSnCSe
Source: the Alexandria database
Functional: PBE
Structure: optimized geometry

Structure (POSCAR):
```
MnReSnCSe
1.0
7.1205 0.0000 -0.0113
0.0000 2.9380 0.0000
-3.0647 0.0000 9.7192
Re C Mn Sn Se
2 2 2 2 2
direct
0.3456 0.0000 0.4640
0.3456 0.5000 0.9640
0.3196 0.0000 0.8282
0.3196 0.5000 0.3282
0.2781 0.0000 0.1953
0.2781 0.5000 0.6953
0.6463 0.0000 0.1744
0.6463 0.5000 0.6744
0.0465 0.0000 0.5296
0.0465 0.5000 0.0296
```

## Properties
Space group: Cm, No. 8

***

c) Compound: MnReSnCSe
Source: the Alexandria database
Functional: PBE
Structure: optimized geometry

Structure (POSCAR):
```
MnReSnCSe
1.0
-3.8905 4.0171 -1.2447
-1.5420 -0.7364 2.4432
7.7616 3.8957 6.0730
Re C Mn Sn Se
2 2 2 2 2
direct
0.8698 0.0000 0.1744
0.8698 0.5000 0.6744
0.9491 0.0000 0.8065
0.9491 0.5000 0.3065
0.9309 0.0000 0.4326
0.9309 0.5000 0.9326
0.3163 0.0000 0.1239
0.3163 0.5000 0.6239
0.6025 0.0000 0.9296
0.6025 0.5000 0.4296
```

## Properties
Space group: Cm, No. 8

***

d) Compound: MnReSnCSe
Source: the Alexandria database
Functional: PBE
Structure: optimized geometry

Structure (POSCAR):
```
MnReSnCSe
1.0
3.1633 0.0000 0.0000
-1.5816 2.7395 0.0000
0.0000 0.0000 9.9457
Re C Mn Sn Se
1 1 1 1 1
direct
0.3333 0.6667 0.9784
0.6667 0.3333 0.0779
0.0000 0.0000 0.1852
0.0000 0.0000 0.7382
0.3333 0.6667 0.3517
```

## Properties
Space group: P3m1, No. 156

***

It is c) that is the least stable of them.

***

a) Compound: MnReSnCSe
Source: the Alexandria database
Functional: PBE
Structure: optimized geometry

Structure (POSCAR):
```
MnReSnCSe
1.0
-2.0664 -1.3167 1.6721
1.6316 -5.0034 0.7012
4.6461 -0.2869 5.5429
Re C Mn Sn Se
1 1 1 1 1
direct
0.0618 0.7054 0.8034
0.6932 0.4418 0.7749
0.3051 0.2171 0.7651
0.8485 0.1351 0.4531
0.5103 0.8058 0.0484
```

## Properties
Space group: P1, No. 1

***

b) Compound: MnReSnCSe
Source: the Alexandria database
Functional: PBE
Structure: optimized geometry

Structure (POSCAR):
```
MnReSnCSe
1.0
-1.9509 -4.2648 -3.0027
2.7125 -1.4362 0.2775
-1.5341 -0.9035 10.3205
Re C Mn Sn Se
2 2 2 2 2
direct
0.6192 0.0000 0.7516
0.6192 0.5000 0.2516
0.8728 0.0000 0.2760
0.8728 0.5000 0.7760
0.0922 0.0000 0.7630
0.0922 0.5000 0.2630
0.5622 0.0000 0.4659
0.5622 0.5000 0.9659
0.2039 0.0000 0.1102
0.2039 0.5000 0.6102
```

## Properties
Space group: Cm, No. 8

***

It is b) that is the least stable of them.